(1)
The following is a DFT calculation (GGA-PBEsol) of a relaxed MgBH2Ru crystal.

a b c (Å): 3.1153 3.1153 6.0814
angles (deg): 90.00 90.00 90.00
Sites, in units of the cell vectors:
Mg 0.0000 0.0000 0.0000
Ru 0.0000 0.0000 0.5000
B 0.5000 0.5000 0.5000
H 0.0000 0.5000 0.0000
H 0.5000 0.0000 0.0000

Symmetry: P4/mmm (123)
Final energy (eV per atom): -4.334

---

(2)
The following is a DFT calculation (GGA-PBEsol) of a relaxed MnB2H crystal.

a b c (Å): 3.3483 3.3483 3.3483
angles (deg): 60.00 60.00 60.00
Sites, in units of the cell vectors:
H 0.0000 0.0000 0.0000
B 0.7500 0.7500 0.7500
B 0.2500 0.2500 0.2500
Mn 0.5000 0.5000 0.5000

Symmetry: Fm-3m (225)
Final energy (eV per atom): -5.853

---

(3)
The following is a DFT calculation (GGA-PBEsol) of a relaxed Mn2BHN crystal.

a b c (Å): 2.8300 3.8926 3.8926
angles (deg): 90.00 90.00 90.00
Sites, in units of the cell vectors:
H 0.5000 0.5000 0.5000
B 0.5000 0.0000 0.0000
Mn 0.0000 0.5000 0.0000
Mn 0.0000 0.0000 0.5000
N 0.0000 0.0000 0.0000

Symmetry: P4/mmm (123)
Final energy (eV per atom): -7.254

---

(4)
The following is a DFT calculation (GGA-PBEsol) of a relaxed ReBMo2H crystal.

a b c (Å): 3.9870 4.1183 4.1183
angles (deg): 90.00 90.00 90.00
Sites, in units of the cell vectors:
Mo 0.0000 0.0000 0.5000
Mo 0.0000 0.5000 0.0000
H 0.5000 0.5000 0.5000
B 0.0000 0.0000 0.0000
Re 0.5000 0.0000 0.0000

Symmetry: P4/mmm (123)
Final energy (eV per atom): -8.301

---

(5)
The following is a DFT calculation (GGA-PBEsol) of a relaxed VBP2H5NO9 crystal.

a b c (Å): 8.2584 9.4809 9.7326
angles (deg): 104.03 90.00 90.00
Sites, in units of the cell vectors:
H 0.5830 0.6047 0.9996
H 0.4170 0.3953 0.0004
H 0.9977 0.8324 0.0072
H 0.1853 0.0967 0.0244
H 0.4565 0.1327 0.6549
H 0.9170 0.6047 0.4996
H 0.8613 0.7297 0.8918
H 0.3613 0.2703 0.6082
H 0.5023 0.8324 0.5072
H 0.0830 0.3953 0.5004
H 0.6387 0.7297 0.3918
H 0.1387 0.2703 0.1082
H 0.5435 0.8673 0.3451
H 0.4977 0.1676 0.4928
H 0.0435 0.1327 0.1549
H 0.8147 0.9033 0.9756
H 0.0023 0.1676 0.9928
H 0.6853 0.9033 0.4756
H 0.9565 0.8673 0.8451
H 0.3147 0.0967 0.5244
O 0.7813 0.5904 0.2651
O 0.4129 0.1866 0.2152
O 0.5712 0.4096 0.2692
O 0.1638 0.9185 0.4240
O 0.4288 0.5904 0.7308
O 0.2804 0.6401 0.4294
O 0.3655 0.6454 0.1805
O 0.6638 0.0815 0.0760
O 0.6489 0.1164 0.3469
O 0.8655 0.3546 0.3194
O 0.9288 0.4096 0.7692
O 0.3511 0.8836 0.6531
O 0.2813 0.4096 0.2349
O 0.6345 0.3546 0.8194
O 0.4520 0.3117 0.0354
O 0.0712 0.5904 0.2308
O 0.9520 0.6883 0.4646
O 0.4834 0.9259 0.1957
O 0.7196 0.3599 0.5706
O 0.3362 0.9185 0.9240
O 0.5871 0.8134 0.7848
O 0.0871 0.1866 0.7152
O 0.9129 0.8134 0.2848
O 0.2187 0.4096 0.7349
O 0.8511 0.1164 0.8469
O 0.1489 0.8836 0.1531
O 0.8362 0.0815 0.5760
O 0.7804 0.3599 0.0706
O 0.9834 0.0741 0.3043
O 0.5166 0.0741 0.8043
O 0.5480 0.6883 0.9646
O 0.0166 0.9259 0.6957
O 0.2196 0.6401 0.9294
O 0.0480 0.3117 0.5354
O 0.7187 0.5904 0.7651
O 0.1345 0.6454 0.6806
V 0.8460 0.2118 0.4379
V 0.3460 0.7882 0.0621
V 0.1540 0.7882 0.5621
V 0.6540 0.2118 0.9379
N 0.9078 0.8330 0.9317
N 0.4078 0.1670 0.5683
N 0.0922 0.1670 0.0683
N 0.5922 0.8330 0.4317
P 0.5579 0.0764 0.2045
P 0.2474 0.5786 0.7713
P 0.0579 0.9236 0.2955
P 0.7526 0.4214 0.2287
P 0.9421 0.0764 0.7045
P 0.7474 0.4214 0.7287
P 0.2526 0.5786 0.2713
P 0.4421 0.9236 0.7955
B 0.0672 0.3316 0.6906
B 0.4328 0.3316 0.1906
B 0.9328 0.6684 0.3094
B 0.5672 0.6684 0.8094

Symmetry: P2_1/c (14)
Final energy (eV per atom): -7.041

---

(6)
The following is a DFT calculation (GGA-PBEsol) of a relaxed YB3H24N4 crystal.

a b c (Å): 7.9405 11.8113 11.4746
angles (deg): 90.00 90.00 90.00
Sites, in units of the cell vectors:
H 0.0465 0.4444 0.6579
H 0.2871 0.5015 0.6761
H 0.8123 0.8506 0.0641
H 0.3723 0.9186 0.0698
H 0.7129 0.0015 0.3239
H 0.9535 0.5556 0.3421
H 0.5885 0.4151 0.7547
H 0.3756 0.7500 0.3425
H 0.3723 0.5814 0.0698
H 0.2871 0.9985 0.6761
H 0.3383 0.4450 0.9431
H 0.6256 0.3214 0.3024
H 0.6277 0.4186 0.9302
H 0.7504 0.9198 0.6836
H 0.1277 0.9186 0.5698
H 0.8744 0.1786 0.8024
H 0.5085 0.6791 0.9049
H 0.3123 0.1494 0.4359
H 0.6119 0.2500 0.4260
H 0.5199 0.8375 0.4516
H 0.1256 0.8214 0.1976
H 0.1617 0.4450 0.4431
H 0.4535 0.0556 0.1579
H 0.5465 0.9444 0.8421
H 0.0885 0.9151 0.7453
H 0.7871 0.4985 0.8239
H 0.8698 0.7500 0.8229
H 0.6244 0.2500 0.6575
H 0.0085 0.1791 0.5951
H 0.7496 0.5802 0.1836
H 0.8756 0.2500 0.1575
H 0.1617 0.0550 0.4431
H 0.8383 0.5550 0.5569
H 0.1877 0.1494 0.9359
H 0.9801 0.8375 0.9516
H 0.3744 0.6786 0.6976
H 0.5885 0.0849 0.7547
H 0.6256 0.1786 0.3024
H 0.6877 0.6494 0.5641
H 0.9535 0.9444 0.3421
H 0.6617 0.9450 0.0569
H 0.6277 0.0814 0.9302
H 0.1877 0.3506 0.9359
H 0.3881 0.7500 0.5740
H 0.3123 0.3506 0.4359
H 0.1256 0.6786 0.1976
H 0.3744 0.8214 0.6976
H 0.4801 0.1625 0.5484
H 0.6302 0.7500 0.3229
H 0.7871 0.0015 0.8239
H 0.9115 0.4151 0.2547
H 0.4115 0.5849 0.2453
H 0.7129 0.4985 0.3239
H 0.8723 0.0814 0.4302
H 0.4915 0.1791 0.0951
H 0.2496 0.0802 0.3164
H 0.8383 0.9450 0.5569
H 0.1119 0.7500 0.0740
H 0.9115 0.0849 0.2547
H 0.7504 0.5802 0.6836
H 0.9915 0.6791 0.4049
H 0.1244 0.7500 0.8425
H 0.2504 0.0802 0.8164
H 0.6877 0.8506 0.5641
H 0.1277 0.5814 0.5698
H 0.2496 0.4198 0.3164
H 0.2504 0.4198 0.8164
H 0.8744 0.3214 0.8024
H 0.0199 0.1625 0.0484
H 0.8288 0.2500 0.5846
H 0.5199 0.6625 0.4516
H 0.9915 0.8209 0.4049
H 0.5085 0.8209 0.9049
H 0.8723 0.4186 0.4302
H 0.6712 0.2500 0.0846
H 0.7496 0.9198 0.1836
H 0.1302 0.2500 0.1771
H 0.2129 0.5015 0.1761
H 0.4915 0.3209 0.0951
H 0.0199 0.3375 0.0484
H 0.0085 0.3209 0.5951
H 0.8881 0.2500 0.9260
H 0.9801 0.6625 0.9516
H 0.2129 0.9985 0.1761
H 0.3288 0.7500 0.9154
H 0.3383 0.0550 0.9431
H 0.8123 0.6494 0.0641
H 0.6617 0.5550 0.0569
H 0.0465 0.0556 0.6579
H 0.3698 0.2500 0.6771
H 0.5465 0.5556 0.8421
H 0.1712 0.7500 0.4154
H 0.4535 0.4444 0.1579
H 0.4801 0.3375 0.5484
H 0.4115 0.9151 0.2453
H 0.0885 0.5849 0.7453
B 0.6394 0.0274 0.8378
B 0.4872 0.2500 0.6052
B 0.1394 0.5274 0.6622
B 0.1394 0.9726 0.6622
B 0.3606 0.5274 0.1622
B 0.8606 0.0274 0.3378
B 0.5128 0.7500 0.3948
B 0.3606 0.9726 0.1622
B 0.8606 0.4726 0.3378
B 0.6394 0.4726 0.8378
B 0.0128 0.2500 0.1052
B 0.9872 0.7500 0.8948
N 0.0468 0.7500 0.4416
N 0.7918 0.6194 0.6082
N 0.7918 0.8806 0.6082
N 0.2918 0.3806 0.8918
N 0.1677 0.7500 0.1554
N 0.6677 0.2500 0.3446
N 0.7082 0.6194 0.1082
N 0.2082 0.3806 0.3918
N 0.8323 0.2500 0.8446
N 0.3323 0.7500 0.6554
N 0.2918 0.1194 0.8918
N 0.2082 0.1194 0.3918
N 0.5468 0.2500 0.0584
N 0.9532 0.2500 0.5584
N 0.4532 0.7500 0.9416
N 0.7082 0.8806 0.1082
Y 0.4760 0.7500 0.1532
Y 0.9760 0.2500 0.3468
Y 0.0240 0.7500 0.6532
Y 0.5240 0.2500 0.8468

Symmetry: Pnma (62)
Final energy (eV per atom): -4.781

---

(7)
The following is a DFT calculation (GGA-PBEsol) of a relaxed NaBH4 crystal.

a b c (Å): 4.2027 4.2027 4.2027
angles (deg): 60.00 60.00 60.00
Sites, in units of the cell vectors:
Na 0.0000 0.0000 0.0000
H 0.3808 0.3808 0.3808
H 0.8577 0.3808 0.3808
H 0.3808 0.8577 0.3808
H 0.3808 0.3808 0.8577
B 0.5000 0.5000 0.5000

Symmetry: F-43m (216)
Final energy (eV per atom): -3.902

---

(8)
The following is a DFT calculation (GGA-PBEsol) of a relaxed Na3BH crystal.

a b c (Å): 4.4049 4.4049 4.4049
angles (deg): 90.00 90.00 90.00
Sites, in units of the cell vectors:
Na 0.0000 0.0000 0.5000
Na 0.0000 0.5000 0.0000
Na 0.5000 0.0000 0.0000
B 0.5000 0.5000 0.5000
H 0.0000 0.0000 0.0000

Symmetry: Pm-3m (221)
Final energy (eV per atom): -2.221
Relative energy among the computed polymorphs (eV per atom): 0.000

---

(9)
The following is a DFT calculation (GGA-PBEsol) of a relaxed NaBH4 crystal.

a b c (Å): 4.1611 6.9516 7.1222
angles (deg): 90.00 90.00 90.00
Sites, in units of the cell vectors:
Na 0.7500 0.7480 0.9879
Na 0.7500 0.7520 0.4879
Na 0.2500 0.2520 0.0121
Na 0.2500 0.2480 0.5121
B 0.2500 0.5631 0.2608
B 0.7500 0.0631 0.2392
B 0.2500 0.9369 0.7608
B 0.7500 0.4369 0.7392
H 0.4927 0.4725 0.3036
H 0.0073 0.0275 0.8036
H 0.5073 0.5275 0.6964
H 0.7500 0.2794 0.6626
H 0.5073 0.9725 0.1964
H 0.0073 0.4725 0.3036
H 0.7500 0.4116 0.9108
H 0.2500 0.7794 0.8374
H 0.9927 0.5275 0.6964
H 0.2500 0.9116 0.5892
H 0.2500 0.7206 0.3374
H 0.7500 0.2206 0.1626
H 0.7500 0.0884 0.4108
H 0.9927 0.9725 0.1964
H 0.2500 0.5884 0.0892
H 0.4927 0.0275 0.8036

Symmetry: Pnma (62)
Final energy (eV per atom): -3.889

---

(10)
The following is a DFT calculation (GGA-PBEsol) of a relaxed NaBH4 crystal.

a b c (Å): 4.2161 4.2161 5.7483
angles (deg): 90.00 90.00 90.00
Sites, in units of the cell vectors:
Na 0.5000 0.5000 0.0000
Na 0.0000 0.0000 0.5000
H 0.7613 0.0000 0.1227
H 0.2387 0.0000 0.1227
H 0.7387 0.5000 0.3773
H 0.0000 0.7613 0.8773
H 0.0000 0.2387 0.8773
H 0.5000 0.7387 0.6227
H 0.5000 0.2613 0.6227
H 0.2613 0.5000 0.3773
B 0.5000 0.5000 0.5000
B 0.0000 0.0000 0.0000

Symmetry: P4_2/nmc (137)
Final energy (eV per atom): -3.911

---

(11)
The following is a DFT calculation (GGA-PBEsol) of a relaxed NaBH4 crystal.

a b c (Å): 4.2785 4.3517 7.1634
angles (deg): 101.09 90.00 90.00
Sites, in units of the cell vectors:
H 0.7601 0.2859 0.3369
H 0.0000 0.6723 0.3137
H 0.5000 0.8965 0.6936
H 0.2399 0.2859 0.3369
H 0.0000 0.5158 0.5586
H 0.2718 0.2178 0.8898
H 0.7282 0.2178 0.8898
H 0.5000 0.8484 0.9633
Na 0.0000 0.9531 0.0883
Na 0.0000 0.0309 0.6028
B 0.0000 0.4364 0.3839
B 0.5000 0.0435 0.8586

Symmetry: Pm (6)
Final energy (eV per atom): -3.871

---

(12)
The following is a DFT calculation (GGA-PBEsol) of a relaxed NaB6H6 crystal.

a b c (Å): 6.8333 6.8601 10.4398
angles (deg): 90.00 90.00 95.51
Sites, in units of the cell vectors:
B 0.2289 0.4894 0.5576
B 0.6740 0.1744 0.0511
B 0.3260 0.8256 0.9489
B 0.0175 0.4270 0.6534
B 0.9270 0.7244 0.4765
B 0.3320 0.0721 0.8966
B 0.4825 0.0730 0.1534
B 0.6680 0.9279 0.1034
B 0.0807 0.6735 0.6070
B 0.7289 0.9894 0.9424
B 0.5175 0.9270 0.8466
B 0.9193 0.3265 0.3930
B 0.9825 0.5730 0.3466
B 0.7711 0.5106 0.4424
B 0.4193 0.8265 0.1070
B 0.2711 0.0106 0.0576
B 0.1740 0.6744 0.4489
B 0.8320 0.5721 0.6034
B 0.5807 0.1735 0.8930
B 0.4270 0.2244 0.0235
B 0.8260 0.3256 0.5511
B 0.1680 0.4279 0.3966
B 0.0730 0.2756 0.5235
B 0.5730 0.7756 0.9765
H 0.8956 0.9809 0.9060
H 0.6298 0.6159 0.9588
H 0.8581 0.2029 0.3166
H 0.2885 0.3758 0.3224
H 0.8702 0.8841 0.4588
H 0.7115 0.6242 0.6776
H 0.4737 0.1259 0.2638
H 0.3702 0.3841 0.0412
H 0.7885 0.8758 0.1776
H 0.3026 0.7962 0.4143
H 0.0263 0.3741 0.7638
H 0.5263 0.8741 0.7362
H 0.6974 0.2038 0.5857
H 0.1974 0.7038 0.9143
H 0.3581 0.7029 0.1834
H 0.2115 0.1242 0.8224
H 0.1298 0.1159 0.5412
H 0.1419 0.7971 0.6834
H 0.8026 0.2962 0.0857
H 0.1044 0.0191 0.0940
H 0.6419 0.2971 0.8166
H 0.6044 0.5191 0.4060
H 0.3956 0.4809 0.5940
H 0.9737 0.6259 0.2362
Na 0.1282 0.0157 0.3088
Na 0.8718 0.9843 0.6912
Na 0.3718 0.4843 0.8088
Na 0.6282 0.5157 0.1912

Symmetry: P2_1/c (14)
Final energy (eV per atom): -5.180